(1)
The following is a DFT calculation (PBEsol) of a relaxed structure of CrN2ClF.

Structure (CIF):
```
data_CrN2ClF
_chemical_formula_sum 'Cr1 N2 Cl1 F1'
_cell_length_a 3.820
_cell_length_b 3.725
_cell_length_c 3.725
_cell_angle_alpha 90.00
_cell_angle_beta 90.00
_cell_angle_gamma 90.00
_symmetry_space_group_name_H-M 'P 1'
_symmetry_Int_Tables_number 1
loop_
_symmetry_equiv_pos_as_xyz
'x,y,z'
loop_
_atom_site_label
_atom_site_type_symbol
_atom_site_fract_x
_atom_site_fract_y
_atom_site_fract_z
_atom_site_occupancy
Cr1 Cr 0.000 0.000 0.000 1
N1 N 0.000 0.000 0.500 1
N2 N 0.000 0.500 0.000 1
F1 F 0.500 0.000 0.000 1
Cl1 Cl 0.500 0.500 0.500 1
```

Total moment in μB per cell: 0.001
Raw total energy in eV/atom: -6.053
D(E_F) in states/eV/atom: 0.392

=====

(2)
The following is a DFT calculation (PBEsol) of a relaxed structure of SrCrClF2.

Structure (CIF):
```
data_SrCrClF2
_chemical_formula_sum 'Sr1 Cr1 Cl1 F2'
_cell_length_a 4.508
_cell_length_b 4.508
_cell_length_c 5.847
_cell_angle_alpha 90.00
_cell_angle_beta 90.00
_cell_angle_gamma 90.00
_symmetry_space_group_name_H-M 'P 1'
_symmetry_Int_Tables_number 1
loop_
_symmetry_equiv_pos_as_xyz
'x,y,z'
loop_
_atom_site_label
_atom_site_type_symbol
_atom_site_fract_x
_atom_site_fract_y
_atom_site_fract_z
_atom_site_occupancy
Sr1 Sr 0.000 0.000 0.000 1
F1 F 0.000 0.500 0.000 1
F2 F 0.500 0.000 0.000 1
Cl1 Cl 0.000 0.000 0.500 1
Cr1 Cr 0.500 0.500 0.500 1
```

Total moment in μB per cell: 5.000
Raw total energy in eV/atom: -5.399
D(E_F) in states/eV/atom: 0.839

=====

(3)
The following is a DFT calculation (PBEsol) of a relaxed structure of CrFeCl2.

Structure (CIF):
```
data_CrFeCl2
_chemical_formula_sum 'Cr1 Fe1 Cl2'
_cell_length_a 3.766
_cell_length_b 3.301
_cell_length_c 6.364
_cell_angle_alpha 104.73
_cell_angle_beta 107.21
_cell_angle_gamma 90.00
_symmetry_space_group_name_H-M 'P 1'
_symmetry_Int_Tables_number 1
loop_
_symmetry_equiv_pos_as_xyz
'x,y,z'
loop_
_atom_site_label
_atom_site_type_symbol
_atom_site_fract_x
_atom_site_fract_y
_atom_site_fract_z
_atom_site_occupancy
Cr1 Cr 0.000 0.500 0.000 1
Fe1 Fe 0.500 0.000 0.000 1
Cl1 Cl 0.861 0.864 0.723 1
Cl2 Cl 0.139 0.136 0.277 1
```

Total moment in μB per cell: 5.059
Raw total energy in eV/atom: -5.839
D(E_F) in states/eV/atom: 0.507

=====

(4)
The following is a DFT calculation (PBEsol) of a relaxed structure of CrFe2Cl.

Structure (CIF):
```
data_CrFe2Cl
_chemical_formula_sum 'Cr1 Fe2 Cl1'
_cell_length_a 2.758
_cell_length_b 2.758
_cell_length_c 7.599
_cell_angle_alpha 79.54
_cell_angle_beta 79.54
_cell_angle_gamma 60.00
_symmetry_space_group_name_H-M 'P 1'
_symmetry_Int_Tables_number 1
loop_
_symmetry_equiv_pos_as_xyz
'x,y,z'
loop_
_atom_site_label
_atom_site_type_symbol
_atom_site_fract_x
_atom_site_fract_y
_atom_site_fract_z
_atom_site_occupancy
Cr1 Cr 0.000 0.000 0.000 1
Fe1 Fe 0.252 0.252 0.243 1
Fe2 Fe 0.748 0.748 0.757 1
Cl1 Cl 0.500 0.500 0.500 1
```

Total moment in μB per cell: 3.600
Raw total energy in eV/atom: -7.146
D(E_F) in states/eV/atom: 1.522

=====

(5)
The following is a DFT calculation (PBEsol) of a relaxed structure of CrFe2Cl.

Structure (CIF):
```
data_CrFe2Cl
_chemical_formula_sum 'Cr1 Fe2 Cl1'
_cell_length_a 2.734
_cell_length_b 3.465
_cell_length_c 6.620
_cell_angle_alpha 90.09
_cell_angle_beta 90.00
_cell_angle_gamma 113.24
_symmetry_space_group_name_H-M 'P 1'
_symmetry_Int_Tables_number 1
loop_
_symmetry_equiv_pos_as_xyz
'x,y,z'
loop_
_atom_site_label
_atom_site_type_symbol
_atom_site_fract_x
_atom_site_fract_y
_atom_site_fract_z
_atom_site_occupancy
Cr1 Cr 0.212 0.424 0.801 1
Fe1 Fe 0.958 0.915 0.979 1
Fe2 Fe 0.665 0.331 0.189 1
Cl1 Cl 0.665 0.330 0.531 1
```

Total moment in μB per cell: 3.066
Raw total energy in eV/atom: -7.190
D(E_F) in states/eV/atom: 1.041

=====

(6)
The following is a DFT calculation (PBEsol) of a relaxed structure of Cr2FeCl.

Structure (CIF):
```
data_Cr2FeCl
_chemical_formula_sum 'Cr2 Fe1 Cl1'
_cell_length_a 2.687
_cell_length_b 2.687
_cell_length_c 6.105
_cell_angle_alpha 90.00
_cell_angle_beta 90.00
_cell_angle_gamma 90.00
_symmetry_space_group_name_H-M 'P 1'
_symmetry_Int_Tables_number 1
loop_
_symmetry_equiv_pos_as_xyz
'x,y,z'
loop_
_atom_site_label
_atom_site_type_symbol
_atom_site_fract_x
_atom_site_fract_y
_atom_site_fract_z
_atom_site_occupancy
Cr1 Cr 0.000 0.000 0.749 1
Cr2 Cr 0.000 0.000 0.251 1
Fe1 Fe 0.500 0.500 0.000 1
Cl1 Cl 0.500 0.500 0.500 1
```

Total moment in μB per cell: 0.007
Raw total energy in eV/atom: -7.511
D(E_F) in states/eV/atom: 1.006

=====

(7)
The following is a DFT calculation (PBEsol) of a relaxed structure of CrFeCl2.

Structure (CIF):
```
data_CrFeCl2
_chemical_formula_sum 'Cr1 Fe1 Cl2'
_cell_length_a 3.099
_cell_length_b 3.302
_cell_length_c 7.518
_cell_angle_alpha 90.00
_cell_angle_beta 90.00
_cell_angle_gamma 117.98
_symmetry_space_group_name_H-M 'P 1'
_symmetry_Int_Tables_number 1
loop_
_symmetry_equiv_pos_as_xyz
'x,y,z'
loop_
_atom_site_label
_atom_site_type_symbol
_atom_site_fract_x
_atom_site_fract_y
_atom_site_fract_z
_atom_site_occupancy
Cr1 Cr 0.500 0.000 0.500 1
Fe1 Fe 0.500 0.000 0.000 1
Cl1 Cl 0.000 0.000 0.757 1
Cl2 Cl 0.000 0.000 0.243 1
```

Total moment in μB per cell: 7.380
Raw total energy in eV/atom: -5.532
D(E_F) in states/eV/atom: 1.178

=====

(8)
The following is a DFT calculation (PBEsol) of a relaxed structure of Cr2FeCl.

Structure (CIF):
```
data_Cr2FeCl
_chemical_formula_sum 'Cr2 Fe1 Cl1'
_cell_length_a 2.748
_cell_length_b 3.833
_cell_length_c 4.726
_cell_angle_alpha 91.51
_cell_angle_beta 106.90
_cell_angle_gamma 90.00
_symmetry_space_group_name_H-M 'P 1'
_symmetry_Int_Tables_number 1
loop_
_symmetry_equiv_pos_as_xyz
'x,y,z'
loop_
_atom_site_label
_atom_site_type_symbol
_atom_site_fract_x
_atom_site_fract_y
_atom_site_fract_z
_atom_site_occupancy
Cr1 Cr 0.217 0.289 0.434 1
Cr2 Cr 0.783 0.711 0.566 1
Fe1 Fe 0.500 0.500 0.000 1
Cl1 Cl 0.000 0.000 0.000 1
```

Total moment in μB per cell: 0.007
Raw total energy in eV/atom: -7.286
D(E_F) in states/eV/atom: 1.255

=====

(9)
The following is a DFT calculation (PBEsol) of a relaxed structure of CrFeCl2.

Structure (CIF):
```
data_CrFeCl2
_chemical_formula_sum 'Cr1 Fe1 Cl2'
_cell_length_a 3.227
_cell_length_b 4.876
_cell_length_c 4.876
_cell_angle_alpha 101.94
_cell_angle_beta 106.43
_cell_angle_gamma 106.43
_symmetry_space_group_name_H-M 'P 1'
_symmetry_Int_Tables_number 1
loop_
_symmetry_equiv_pos_as_xyz
'x,y,z'
loop_
_atom_site_label
_atom_site_type_symbol
_atom_site_fract_x
_atom_site_fract_y
_atom_site_fract_z
_atom_site_occupancy
Cr1 Cr 0.000 0.000 0.000 1
Fe1 Fe 0.000 0.500 0.500 1
Cl1 Cl 0.000 0.500 0.000 1
Cl2 Cl 0.000 0.000 0.500 1
```

Total moment in μB per cell: 7.246
Raw total energy in eV/atom: -5.559
D(E_F) in states/eV/atom: 0.808

=====

(10)
The following is a DFT calculation (PBEsol) of a relaxed structure of CrFe2Cl.

Structure (CIF):
```
data_CrFe2Cl
_chemical_formula_sum 'Cr1 Fe2 Cl1'
_cell_length_a 2.716
_cell_length_b 4.038
_cell_length_c 4.843
_cell_angle_alpha 114.64
_cell_angle_beta 106.28
_cell_angle_gamma 90.00
_symmetry_space_group_name_H-M 'P 1'
_symmetry_Int_Tables_number 1
loop_
_symmetry_equiv_pos_as_xyz
'x,y,z'
loop_
_atom_site_label
_atom_site_type_symbol
_atom_site_fract_x
_atom_site_fract_y
_atom_site_fract_z
_atom_site_occupancy
Cr1 Cr 0.000 0.500 0.000 1
Fe1 Fe 0.769 0.769 0.538 1
Fe2 Fe 0.231 0.231 0.462 1
Cl1 Cl 0.500 0.000 0.000 1
```

Total moment in μB per cell: 1.706
Raw total energy in eV/atom: -7.044
D(E_F) in states/eV/atom: 0.973

=====

(11)
The following is a DFT calculation (PBEsol) of a relaxed structure of CrFe2Cl.

Structure (CIF):
```
data_CrFe2Cl
_chemical_formula_sum 'Cr1 Fe2 Cl1'
_cell_length_a 2.697
_cell_length_b 4.064
_cell_length_c 4.820
_cell_angle_alpha 114.93
_cell_angle_beta 106.25
_cell_angle_gamma 90.00
_symmetry_space_group_name_H-M 'P 1'
_symmetry_Int_Tables_number 1
loop_
_symmetry_equiv_pos_as_xyz
'x,y,z'
loop_
_atom_site_label
_atom_site_type_symbol
_atom_site_fract_x
_atom_site_fract_y
_atom_site_fract_z
_atom_site_occupancy
Cr1 Cr 0.227 0.727 0.454 1
Fe1 Fe 0.996 0.996 0.993 1
Fe2 Fe 0.773 0.273 0.547 1
Cl1 Cl 0.503 0.503 0.006 1
```

Total moment in μB per cell: 1.635
Raw total energy in eV/atom: -6.970
D(E_F) in states/eV/atom: 0.990

=====

(12)
The following is a DFT calculation (PBEsol) of a relaxed structure of CrFe2Cl.

Structure (CIF):
```
data_CrFe2Cl
_chemical_formula_sum 'Cr1 Fe2 Cl1'
_cell_length_a 2.835
_cell_length_b 2.913
_cell_length_c 6.554
_cell_angle_alpha 90.13
_cell_angle_beta 90.00
_cell_angle_gamma 90.00
_symmetry_space_group_name_H-M 'P 1'
_symmetry_Int_Tables_number 1
loop_
_symmetry_equiv_pos_as_xyz
'x,y,z'
loop_
_atom_site_label
_atom_site_type_symbol
_atom_site_fract_x
_atom_site_fract_y
_atom_site_fract_z
_atom_site_occupancy
Cr1 Cr 0.500 0.501 0.801 1
Fe1 Fe 0.000 0.002 0.987 1
Fe2 Fe 0.500 0.504 0.202 1
Cl1 Cl 0.000 0.493 0.510 1
```

Total moment in μB per cell: 3.145
Raw total energy in eV/atom: -7.310
D(E_F) in states/eV/atom: 1.146

=====

> The lowest D(E_F) belongs to which entry?

CrN2ClF

=====

> Among the records above, which one has the lowest total moment?

CrN2ClF

=====

> What is the D(E_F) in the fourth record?

1.522 states/eV/atom